1.
{
  "formula": "Ge2Te2Br",
  "functional": "GGA-PBE",
  "state": "relaxed",
  "energy_ev_per_atom": -3.421,
  "e_above_lowest_polymorph_mev_per_atom": 179,
  "cell": [[4.880, 0.000, 0.000], [0.000, 4.880, 0.000], [2.440, 2.440, 6.197]],
  "species": ["Te", "Te", "Ge", "Ge", "Br"],
  "frac_coords": [[0.750, 0.250, 0.500], [0.250, 0.750, 0.500], [0.622, 0.622, 0.756], [0.378, 0.378, 0.244], [0.000, 0.000, 0.000]]
}

2.
{
  "formula": "GdErPuPa",
  "functional": "GGA-PBE",
  "state": "relaxed",
  "energy_ev_per_atom": -10.321,
  "formation_energy_ev_per_atom": 0.30,
  "cell": [[5.429, 0.000, 0.000], [2.715, 4.702, 0.000], [2.715, 1.567, 4.433]],
  "species": ["Gd", "Pu", "Er", "Pa"],
  "frac_coords": [[0.250, 0.250, 0.250], [0.750, 0.750, 0.750], [0.000, 0.000, 0.000], [0.500, 0.500, 0.500]]
}

3.
{
  "formula": "Dy6P2HSe3",
  "functional": "GGA-PBE",
  "state": "relaxed",
  "energy_ev_per_atom": -5.833,
  "cell": [[-0.642, 2.465, -3.072], [0.755, -6.157, -5.099], [-8.153, -0.978, 3.513]],
  "species": ["P", "P", "Dy", "Dy", "Dy", "Dy", "Dy", "Dy", "Se", "Se", "Se", "H"],
  "frac_coords": [[0.836, 0.670, 0.672], [0.164, 0.330, 0.328], [0.339, 0.907, 0.678], [0.998, 0.759, 0.996], [0.661, 0.093, 0.322], [0.328, 0.429, 0.656], [0.002, 0.241, 0.004], [0.672, 0.571, 0.344], [0.500, 0.500, 0.000], [0.169, 0.833, 0.338], [0.831, 0.167, 0.662], [0.500, 0.000, 0.000]]
}

4.
{
  "formula": "MgIn3Ag",
  "functional": "GGA-PBE",
  "state": "relaxed",
  "energy_ev_per_atom": -2.254,
  "e_above_lowest_polymorph_mev_per_atom": 0,
  "formation_energy_ev_per_atom": 0.28,
  "cell": [[-1.517, 1.752, -4.839], [-5.120, -0.001, 1.605], [0.523, 5.072, 1.672]],
  "species": ["In", "In", "In", "Mg", "Ag"],
  "frac_coords": [[0.000, 0.000, 0.500], [0.500, 0.000, 0.000], [0.000, 0.500, 0.000], [0.500, 0.500, 0.500], [0.000, 0.000, 0.000]]
}

5.
{
  "formula": "LaZrZnIn",
  "functional": "GGA-PBE",
  "state": "relaxed",
  "energy_ev_per_atom": -4.575,
  "formation_energy_ev_per_atom": -0.20,
  "cell": [[5.188, 0.000, 0.000], [2.594, 4.493, 0.000], [2.594, 1.498, 4.236]],
  "species": ["Zn", "La", "Zr", "In"],
  "frac_coords": [[0.000, 0.000, 0.000], [0.750, 0.750, 0.750], [0.250, 0.250, 0.250], [0.500, 0.500, 0.500]]
}

6.
{
  "formula": "Sm2AgPd3",
  "functional": "GGA-PBE",
  "state": "relaxed",
  "energy_ev_per_atom": -4.977,
  "e_above_lowest_polymorph_mev_per_atom": 358,
  "formation_energy_ev_per_atom": -0.33,
  "cell": [[-0.152, -1.204, -3.340], [4.749, -1.677, 0.389], [-4.938, -5.431, 4.074]],
  "species": ["Pd", "Pd", "Pd", "Sm", "Sm", "Ag"],
  "frac_coords": [[0.824, 0.824, 0.649], [0.176, 0.176, 0.351], [0.000, 0.500, 0.000], [0.355, 0.355, 0.711], [0.645, 0.645, 0.289], [0.000, 0.000, 0.000]]
}

7.
{
  "formula": "Ti2CrAuN",
  "functional": "GGA-PBE",
  "state": "relaxed",
  "energy_ev_per_atom": -8.176,
  "cell": [[-0.265, 2.311, 3.487], [-3.581, -1.931, 1.008], [1.955, -2.636, 1.895]],
  "species": ["Au", "Ti", "Ti", "N", "Cr"],
  "frac_coords": [[0.500, 0.500, 0.500], [0.500, 0.000, 0.000], [0.000, 0.500, 0.000], [0.000, 0.000, 0.000], [0.000, 0.000, 0.500]]
}

8.
{
  "formula": "CaAsS3",
  "functional": "GGA-PBE",
  "state": "relaxed",
  "energy_ev_per_atom": -4.581,
  "cell": [[6.633, 0.000, 0.000], [0.000, 7.828, 0.000], [0.000, 0.000, 8.878]],
  "species": ["S", "S", "S", "S", "S", "S", "S", "S", "S", "S", "S", "S", "As", "As", "As", "As", "Ca", "Ca", "Ca", "Ca"],
  "frac_coords": [[0.662, 0.674, 0.424], [0.894, 0.463, 0.736], [0.838, 0.174, 0.424], [0.338, 0.326, 0.924], [0.162, 0.826, 0.924], [0.342, 0.301, 0.530], [0.106, 0.537, 0.236], [0.658, 0.699, 0.030], [0.842, 0.199, 0.030], [0.158, 0.801, 0.530], [0.606, 0.963, 0.736], [0.394, 0.037, 0.236], [0.958, 0.578, 0.498], [0.042, 0.422, 0.998], [0.458, 0.922, 0.998], [0.542, 0.078, 0.498], [0.024, 0.105, 0.722], [0.976, 0.895, 0.222], [0.524, 0.395, 0.222], [0.476, 0.605, 0.722]]
}

9.
{
  "formula": "Sn3OsPb",
  "functional": "GGA-PBE",
  "state": "relaxed",
  "energy_ev_per_atom": -3.474,
  "e_above_lowest_polymorph_mev_per_atom": 1586,
  "formation_energy_ev_per_atom": 1.91,
  "cell": [[5.669, 0.000, 0.000], [0.000, 5.669, 0.000], [0.000, 0.000, 5.669]],
  "species": ["Os", "Sn", "Sn", "Sn", "Pb"],
  "frac_coords": [[0.500, 0.500, 0.500], [0.500, 0.000, 0.000], [0.000, 0.000, 0.500], [0.000, 0.500, 0.000], [0.000, 0.000, 0.000]]
}

10.
{
  "formula": "La8Tl2Pb",
  "functional": "GGA-PBE",
  "state": "relaxed",
  "energy_ev_per_atom": -4.626,
  "e_above_lowest_polymorph_mev_per_atom": 0,
  "formation_energy_ev_per_atom": -0.28,
  "cell": [[5.095, 0.000, 0.000], [0.000, 8.475, 0.197], [-2.548, -3.451, 8.395]],
  "species": ["La", "La", "La", "La", "La", "La", "La", "La", "Pb", "Tl", "Tl"],
  "frac_coords": [[0.597, 0.448, 0.195], [0.403, 0.552, 0.805], [0.053, 0.739, 0.107], [0.147, 0.217, 0.295], [0.325, 0.074, 0.650], [0.853, 0.783, 0.705], [0.675, 0.926, 0.350], [0.947, 0.261, 0.893], [0.500, 0.000, 0.000], [0.221, 0.660, 0.443], [0.779, 0.340, 0.557]]
}

11.
{
  "formula": "NiBP",
  "functional": "GGA-PBE",
  "state": "relaxed",
  "energy_ev_per_atom": -6.013,
  "e_above_lowest_polymorph_mev_per_atom": 106,
  "formation_energy_ev_per_atom": -0.06,
  "cell": [[-2.171, -1.732, 1.407], [0.654, -2.556, -3.053], [4.108, -2.032, 2.771]],
  "species": ["B", "B", "P", "P", "Ni", "Ni"],
  "frac_coords": [[0.730, 0.953, 0.933], [0.270, 0.047, 0.067], [0.742, 0.594, 0.686], [0.258, 0.406, 0.314], [0.186, 0.200, 0.700], [0.814, 0.800, 0.300]]
}

12.
{
  "formula": "YTe",
  "functional": "GGA-PBE",
  "state": "relaxed",
  "energy_ev_per_atom": -6.126,
  "cell": [[4.111, 0.000, 0.000], [-2.056, 3.561, 0.000], [0.000, 0.000, 4.055]],
  "species": ["Te", "Y"],
  "frac_coords": [[0.000, 0.000, 0.000], [0.667, 0.333, 0.500]]
}

13.
{
  "formula": "Pa2NbCd",
  "functional": "GGA-PBE",
  "state": "relaxed",
  "energy_ev_per_atom": -7.183,
  "formation_energy_ev_per_atom": 0.31,
  "cell": [[-2.385, -0.983, 1.660], [0.445, -1.974, 2.306], [0.832, 8.160, 8.863]],
  "species": ["Nb", "Pa", "Pa", "Cd"],
  "frac_coords": [[0.500, 0.500, 0.500], [0.093, 0.093, 0.722], [0.907, 0.907, 0.278], [0.000, 0.000, 0.000]]
}

14.
{
  "formula": "KCeSn2",
  "functional": "GGA-PBE",
  "state": "relaxed",
  "energy_ev_per_atom": -4.115,
  "formation_energy_ev_per_atom": -0.36,
  "cell": [[3.484, 0.000, 0.000], [0.000, 3.484, 0.000], [0.000, 0.000, 10.055]],
  "species": ["K", "Sn", "Sn", "Ce"],
  "frac_coords": [[0.500, 0.500, 0.500], [0.000, 0.000, 0.227], [0.000, 0.000, 0.773], [0.500, 0.500, 0.000]]
}

15.
{
  "formula": "BaReTe2",
  "functional": "GGA-PBE",
  "state": "relaxed",
  "energy_ev_per_atom": -4.760,
  "e_above_lowest_polymorph_mev_per_atom": 679,
  "cell": [[-7.278, 3.019, 3.292], [4.470, -1.749, 2.536], [0.249, 3.267, 1.815]],
  "species": ["Ba", "Te", "Te", "Re"],
  "frac_coords": [[0.000, 0.500, 0.500], [0.000, 0.000, 0.000], [0.500, 0.000, 0.500], [0.500, 0.500, 0.000]]
}

16.
{
  "formula": "Mg6AlZn5",
  "functional": "GGA-PBE",
  "state": "relaxed",
  "energy_ev_per_atom": -1.693,
  "formation_energy_ev_per_atom": -0.05,
  "cell": [[4.438, 0.002, -0.942], [-0.003, 7.170, -0.001], [-0.856, 0.000, 7.105]],
  "species": ["Zn", "Zn", "Zn", "Zn", "Zn", "Al", "Mg", "Mg", "Mg", "Mg", "Mg", "Mg"],
  "frac_coords": [[0.343, 0.000, 0.684], [0.332, 0.500, 0.663], [0.000, 0.500, 0.000], [0.657, 0.000, 0.316], [0.668, 0.500, 0.337], [0.000, 0.000, 0.000], [0.500, 0.736, 0.000], [0.832, 0.750, 0.661], [0.500, 0.264, 0.000], [0.832, 0.250, 0.661], [0.168, 0.750, 0.339], [0.168, 0.250, 0.339]]
}

17.
{
  "formula": "Pr2HoSi3Pt4",
  "functional": "GGA-PBE",
  "state": "relaxed",
  "energy_ev_per_atom": -6.516,
  "cell": [[4.299, 0.000, 0.000], [0.000, 4.299, 0.000], [0.000, 0.000, 10.782]],
  "species": ["Pt", "Pt", "Pt", "Pt", "Si", "Si", "Si", "Pr", "Pr", "Ho"],
  "frac_coords": [[0.000, 0.500, 0.342], [0.000, 0.000, 0.000], [0.500, 0.000, 0.658], [0.500, 0.500, 0.000], [0.000, 0.500, 0.118], [0.000, 0.000, 0.500], [0.500, 0.000, 0.882], [0.000, 0.500, 0.771], [0.500, 0.000, 0.229], [0.500, 0.500, 0.500]]
}

18.
{
  "formula": "PmZnIr",
  "functional": "GGA-PBE",
  "state": "relaxed",
  "energy_ev_per_atom": -5.346,
  "e_above_lowest_polymorph_mev_per_atom": 225,
  "formation_energy_ev_per_atom": -0.38,
  "cell": [[-4.022, -0.064, -2.276], [-2.047, -4.030, -0.963], [-3.881, -1.205, 2.201]],
  "species": ["Ir", "Zn", "Pm"],
  "frac_coords": [[0.250, 0.250, 0.250], [0.500, 0.500, 0.500], [0.000, 0.000, 0.000]]
}

19.
{
  "formula": "Ta2AlAs",
  "functional": "GGA-PBE",
  "state": "relaxed",
  "energy_ev_per_atom": -8.138,
  "e_above_lowest_polymorph_mev_per_atom": 103,
  "formation_energy_ev_per_atom": -0.11,
  "cell": [[-1.940, -1.445, 4.460], [-3.297, -3.112, 2.277], [2.667, -3.687, 1.157]],
  "species": ["As", "Ta", "Ta", "Al"],
  "frac_coords": [[0.242, 0.242, 0.206], [0.765, 0.765, 0.702], [0.980, 0.980, 0.056], [0.513, 0.513, 0.536]]
}

20.
{
  "formula": "La2MgTi",
  "functional": "GGA-PBE",
  "state": "relaxed",
  "energy_ev_per_atom": -4.454,
  "formation_energy_ev_per_atom": 0.38,
  "cell": [[3.242, 0.000, 0.000], [1.621, 2.808, 0.000], [1.621, 0.936, 12.016]],
  "species": ["La", "La", "Ti", "Mg"],
  "frac_coords": [[0.081, 0.081, 0.758], [0.919, 0.919, 0.242], [0.000, 0.000, 0.000], [0.500, 0.500, 0.500]]
}